(1)
Material: PmErSiAu
Method: DFT, GGA-PBE
State: optimized geometry Values from VASP.

Output
- symmetry = F-43m
- spin magnetization (μB per formula unit) = 0.5
- raw formation energy (meV/atom) = -636

Structure (Quantum ESPRESSO input):
```
&SYSTEM
  ibrav = 0, nat = 16, ntyp = 4
/
ATOMIC_SPECIES
Pm 145.00 Pm.upf
Er 167.26 Er.upf
Si 28.09 Si.upf
Au 196.97 Au.upf
ATOMIC_POSITIONS crystal
Pm 0.000 0.000 0.000
Pm 0.000 0.500 0.500
Pm 0.500 0.000 0.500
Pm 0.500 0.500 0.000
Er 0.000 0.000 0.500
Er 0.000 0.500 0.000
Er 0.500 0.000 0.000
Er 0.500 0.500 0.500
Si 0.250 0.250 0.750
Si 0.250 0.750 0.250
Si 0.750 0.250 0.250
Si 0.750 0.750 0.750
Au 0.250 0.250 0.250
Au 0.250 0.750 0.750
Au 0.750 0.250 0.750
Au 0.750 0.750 0.250
CELL_PARAMETERS angstrom
7.205 0.000 0.000
0.000 7.205 0.000
0.000 0.000 7.205
```

=====

(2)
Material: PmErTcAu
Method: DFT, GGA-PBE
State: optimized geometry Values from VASP.

Output
- symmetry = F-43m
- energy of formation from the pure elements (eV/f.u.) = -1.196
- spin magnetization (μB per formula unit) = 0.0

Structure (Quantum ESPRESSO input):
```
&SYSTEM
  ibrav = 0, nat = 16, ntyp = 4
/
ATOMIC_SPECIES
Pm 145.00 Pm.upf
Er 167.26 Er.upf
Tc 98.00 Tc.upf
Au 196.97 Au.upf
ATOMIC_POSITIONS crystal
Pm 0.000 0.000 0.000
Pm 0.000 0.500 0.500
Pm 0.500 0.000 0.500
Pm 0.500 0.500 0.000
Er 0.000 0.000 0.500
Er 0.000 0.500 0.000
Er 0.500 0.000 0.000
Er 0.500 0.500 0.500
Tc 0.250 0.250 0.750
Tc 0.250 0.750 0.250
Tc 0.750 0.250 0.250
Tc 0.750 0.750 0.750
Au 0.250 0.250 0.250
Au 0.250 0.750 0.750
Au 0.750 0.250 0.750
Au 0.750 0.750 0.250
CELL_PARAMETERS angstrom
7.070 0.000 0.000
0.000 7.070 0.000
0.000 0.000 7.070
```

=====

(3)
Material: PmErZnAu
Method: DFT, GGA-PBE
State: optimized geometry Values from VASP.

Output
- symmetry = F-43m
- energy of formation from the pure elements (eV/f.u.) = -2.271
- spin magnetization (μB per formula unit) = 0.0
- energy above the most stable polymorph in this dataset (kJ/mol of formula units) = 7

Structure (Quantum ESPRESSO input):
```
&SYSTEM
  ibrav = 0, nat = 16, ntyp = 4
/
ATOMIC_SPECIES
Pm 145.00 Pm.upf
Er 167.26 Er.upf
Zn 65.41 Zn.upf
Au 196.97 Au.upf
ATOMIC_POSITIONS crystal
Pm 0.000 0.000 0.000
Pm 0.000 0.500 0.500
Pm 0.500 0.000 0.500
Pm 0.500 0.500 0.000
Er 0.000 0.000 0.500
Er 0.000 0.500 0.000
Er 0.500 0.000 0.000
Er 0.500 0.500 0.500
Zn 0.250 0.250 0.250
Zn 0.250 0.750 0.750
Zn 0.750 0.250 0.750
Zn 0.750 0.750 0.250
Au 0.250 0.250 0.750
Au 0.250 0.750 0.250
Au 0.750 0.250 0.250
Au 0.750 0.750 0.750
CELL_PARAMETERS angstrom
7.242 0.000 0.000
0.000 7.242 0.000
0.000 0.000 7.242
```

=====

(4)
Material: PmErZnAu
Method: DFT, GGA-PBE
State: optimized geometry Values from VASP.

Output
- symmetry = P4mm
- energy of formation from the pure elements (eV/f.u.) = -2.348
- spin magnetization (μB per formula unit) = 0.0
- energy above the most stable polymorph in this dataset (kJ/mol of formula units) = 0

Structure (Quantum ESPRESSO input):
```
&SYSTEM
  ibrav = 0, nat = 4, ntyp = 4
/
ATOMIC_SPECIES
Pm 145.00 Pm.upf
Er 167.26 Er.upf
Zn 65.41 Zn.upf
Au 196.97 Au.upf
ATOMIC_POSITIONS crystal
Pm 0.000 0.000 0.000
Er 0.000 0.000 0.496
Zn 0.500 0.500 0.262
Au 0.500 0.500 0.722
CELL_PARAMETERS angstrom
3.622 0.000 0.000
0.000 3.622 0.000
0.000 0.000 7.192
```

=====

(5)
Material: Pr2ErAu6
Method: DFT, GGA-PBE
State: optimized geometry Values from VASP.

Output
- symmetry = P-3m1
- energy of formation from the pure elements (eV/f.u.) = -5.849
- spin magnetization (μB per formula unit) = 0.0

Structure (Quantum ESPRESSO input):
```
&SYSTEM
  ibrav = 0, nat = 9, ntyp = 3
/
ATOMIC_SPECIES
Pr 140.91 Pr.upf
Er 167.26 Er.upf
Au 196.97 Au.upf
ATOMIC_POSITIONS crystal
Pr 0.333 0.667 0.335
Pr 0.667 0.333 0.665
Er 0.000 0.000 0.500
Au 0.188 0.375 0.822
Au 0.188 0.812 0.822
Au 0.375 0.188 0.178
Au 0.625 0.812 0.822
Au 0.812 0.188 0.178
Au 0.812 0.625 0.178
CELL_PARAMETERS angstrom
6.658 0.000 0.000
-3.329 5.766 0.000
0.000 0.000 5.576
```

=====

(6)
Material: PrErAu6
Method: DFT, GGA-PBE
State: optimized geometry Values from VASP.

Output
- symmetry = C2/m
- energy of formation from the pure elements (eV/f.u.) = -5.143
- spin magnetization (μB per formula unit) = 0.0

Structure (Quantum ESPRESSO input):
```
&SYSTEM
  ibrav = 0, nat = 16, ntyp = 3
/
ATOMIC_SPECIES
Pr 140.91 Pr.upf
Er 167.26 Er.upf
Au 196.97 Au.upf
ATOMIC_POSITIONS crystal
Pr 0.000 0.000 0.000
Pr 0.500 0.500 0.000
Er 0.000 0.500 0.500
Er 0.500 0.000 0.500
Au 0.115 0.500 0.855
Au 0.130 0.000 0.382
Au 0.244 0.000 0.747
Au 0.256 0.500 0.253
Au 0.370 0.500 0.618
Au 0.385 0.000 0.145
Au 0.615 0.000 0.855
Au 0.630 0.500 0.382
Au 0.744 0.500 0.747
Au 0.756 0.000 0.253
Au 0.870 0.000 0.618
Au 0.885 0.500 0.145
CELL_PARAMETERS angstrom
8.772 0.000 0.000
0.000 4.733 0.000
-3.662 0.000 8.172
```

=====

(7)
Material: PrErAu3
Method: DFT, GGA-PBE
State: optimized geometry Values from VASP.

Output
- symmetry = Cmcm
- energy of formation from the pure elements (eV/f.u.) = -4.085
- spin magnetization (μB per formula unit) = 0.0

Structure (Quantum ESPRESSO input):
```
&SYSTEM
  ibrav = 0, nat = 10, ntyp = 3
/
ATOMIC_SPECIES
Pr 140.91 Pr.upf
Er 167.26 Er.upf
Au 196.97 Au.upf
ATOMIC_POSITIONS crystal
Pr 0.073 0.927 0.750
Pr 0.927 0.073 0.250
Er 0.207 0.793 0.250
Er 0.793 0.207 0.750
Au 0.313 0.687 0.250
Au 0.375 0.625 0.750
Au 0.473 0.527 0.750
Au 0.527 0.473 0.250
Au 0.625 0.375 0.250
Au 0.687 0.313 0.750
CELL_PARAMETERS angstrom
1.844 -14.170 0.000
1.844 14.170 0.000
0.000 0.000 4.593
```

=====

(8)
Material: PrErAu4
Method: DFT, GGA-PBE
State: optimized geometry Values from VASP.

Output
- symmetry = P4/mmm
- energy of formation from the pure elements (eV/f.u.) = -4.816
- spin magnetization (μB per formula unit) = 0.0
- energy above the most stable polymorph in this dataset (kJ/mol of formula units) = 2

Structure (Quantum ESPRESSO input):
```
&SYSTEM
  ibrav = 0, nat = 6, ntyp = 3
/
ATOMIC_SPECIES
Pr 140.91 Pr.upf
Er 167.26 Er.upf
Au 196.97 Au.upf
ATOMIC_POSITIONS crystal
Pr 0.000 0.000 0.000
Er 0.500 0.500 0.500
Au 0.000 0.000 0.342
Au 0.000 0.000 0.658
Au 0.500 0.500 0.176
Au 0.500 0.500 0.824
CELL_PARAMETERS angstrom
3.798 0.000 0.000
0.000 3.798 0.000
0.000 0.000 9.215
```

=====

(9)
Material: Pr3Er4Au4
Method: DFT, GGA-PBE
State: optimized geometry Values from VASP.

Output
- symmetry = Immm
- energy of formation from the pure elements (eV/f.u.) = -6.508
- spin magnetization (μB per formula unit) = 0.0

Structure (Quantum ESPRESSO input):
```
&SYSTEM
  ibrav = 0, nat = 11, ntyp = 3
/
ATOMIC_SPECIES
Pr 140.91 Pr.upf
Er 167.26 Er.upf
Au 196.97 Au.upf
ATOMIC_POSITIONS crystal
Pr 0.000 0.000 0.000
Pr 0.396 0.896 0.500
Pr 0.604 0.104 0.500
Er 0.039 0.327 0.712
Er 0.386 0.673 0.712
Er 0.614 0.327 0.288
Er 0.961 0.673 0.288
Au 0.208 0.208 0.000
Au 0.309 0.500 0.809
Au 0.691 0.500 0.191
Au 0.792 0.792 0.000
CELL_PARAMETERS angstrom
-2.431 3.902 7.882
2.431 -3.902 7.882
2.431 3.902 -7.882
```

=====

(10)
Material: PrEr3Au2
Method: DFT, GGA-PBE
State: optimized geometry Values from VASP.

Output
- symmetry = Pmc2_1
- energy of formation from the pure elements (eV/f.u.) = -3.724
- spin magnetization (μB per formula unit) = 0.0
- energy above the most stable polymorph in this dataset (kJ/mol of formula units) = 0

Structure (Quantum ESPRESSO input):
```
&SYSTEM
  ibrav = 0, nat = 12, ntyp = 3
/
ATOMIC_SPECIES
Pr 140.91 Pr.upf
Er 167.26 Er.upf
Au 196.97 Au.upf
ATOMIC_POSITIONS crystal
Pr 0.000 0.075 0.000
Pr 0.000 0.925 0.500
Er 0.000 0.333 0.636
Er 0.000 0.667 0.136
Er 0.500 0.173 0.338
Er 0.500 0.430 0.973
Er 0.500 0.570 0.473
Er 0.500 0.827 0.838
Au 0.000 0.356 0.238
Au 0.000 0.644 0.738
Au 0.500 0.159 0.738
Au 0.500 0.841 0.238
CELL_PARAMETERS angstrom
4.962 0.000 0.000
0.000 8.956 0.000
0.000 0.000 7.198
```

=====

(11)
Material: Pr2ErAu3
Method: DFT, GGA-PBE
State: optimized geometry Values from VASP.

Output
- symmetry = Pmmn
- energy of formation from the pure elements (eV/f.u.) = -4.692
- spin magnetization (μB per formula unit) = 0.0

Structure (Quantum ESPRESSO input):
```
&SYSTEM
  ibrav = 0, nat = 12, ntyp = 3
/
ATOMIC_SPECIES
Pr 140.91 Pr.upf
Er 167.26 Er.upf
Au 196.97 Au.upf
ATOMIC_POSITIONS crystal
Pr 0.250 0.082 0.011
Pr 0.250 0.418 0.011
Pr 0.750 0.582 0.989
Pr 0.750 0.918 0.989
Er 0.250 0.750 0.991
Er 0.750 0.250 0.009
Au 0.250 0.250 0.508
Au 0.250 0.598 0.489
Au 0.250 0.902 0.489
Au 0.750 0.098 0.511
Au 0.750 0.402 0.511
Au 0.750 0.750 0.492
CELL_PARAMETERS angstrom
5.185 0.000 0.000
0.000 15.853 0.000
0.000 0.000 3.660
```

=====

(12)
Material: PrEr5Au4
Method: DFT, GGA-PBE
State: optimized geometry Values from VASP.

Output
- symmetry = P4/mmm
- energy of formation from the pure elements (eV/f.u.) = -7.013
- spin magnetization (μB per formula unit) = 0.0

Structure (Quantum ESPRESSO input):
```
&SYSTEM
  ibrav = 0, nat = 10, ntyp = 3
/
ATOMIC_SPECIES
Pr 140.91 Pr.upf
Er 167.26 Er.upf
Au 196.97 Au.upf
ATOMIC_POSITIONS crystal
Pr 0.000 0.000 0.000
Er 0.500 0.500 0.136
Er 0.500 0.500 0.316
Er 0.500 0.500 0.500
Er 0.500 0.500 0.684
Er 0.500 0.500 0.864
Au 0.000 0.000 0.222
Au 0.000 0.000 0.408
Au 0.000 0.000 0.592
Au 0.000 0.000 0.778
CELL_PARAMETERS angstrom
3.547 0.000 0.000
0.000 3.547 0.000
0.000 0.000 19.745
```

=====

(13)
Material: PrErAu4
Method: DFT, GGA-PBE
State: optimized geometry Values from VASP.

Output
- symmetry = P-1
- energy of formation from the pure elements (eV/f.u.) = -4.837
- spin magnetization (μB per formula unit) = 0.0
- energy above the most stable polymorph in this dataset (kJ/mol of formula units) = 0

Structure (Quantum ESPRESSO input):
```
&SYSTEM
  ibrav = 0, nat = 6, ntyp = 3
/
ATOMIC_SPECIES
Pr 140.91 Pr.upf
Er 167.26 Er.upf
Au 196.97 Au.upf
ATOMIC_POSITIONS crystal
Pr 0.000 0.000 0.000
Er 0.000 0.500 0.500
Au 0.333 0.991 0.343
Au 0.340 0.510 0.812
Au 0.660 0.490 0.188
Au 0.667 0.009 0.657
CELL_PARAMETERS angstrom
3.800 0.000 0.000
1.886 4.933 0.000
1.889 2.090 7.117
```

=====

(14)
Material: Pr3ErAu2
Method: DFT, GGA-PBE
State: optimized geometry Values from VASP.

Output
- symmetry = Pmc2_1
- energy of formation from the pure elements (eV/f.u.) = -3.250
- spin magnetization (μB per formula unit) = 0.0

Structure (Quantum ESPRESSO input):
```
&SYSTEM
  ibrav = 0, nat = 12, ntyp = 3
/
ATOMIC_SPECIES
Pr 140.91 Pr.upf
Er 167.26 Er.upf
Au 196.97 Au.upf
ATOMIC_POSITIONS crystal
Pr 0.000 0.075 0.000
Pr 0.000 0.338 0.354
Pr 0.000 0.662 0.854
Pr 0.000 0.925 0.500
Pr 0.500 0.166 0.659
Pr 0.500 0.834 0.159
Er 0.500 0.425 0.013
Er 0.500 0.575 0.513
Au 0.000 0.351 0.777
Au 0.000 0.649 0.277
Au 0.500 0.161 0.237
Au 0.500 0.839 0.737
CELL_PARAMETERS angstrom
5.131 0.000 0.000
0.000 9.376 0.000
0.000 0.000 7.207
```

=====

(15)
Material: Pr3ErAu4
Method: DFT, GGA-PBE
State: optimized geometry Values from VASP.

Output
- symmetry = P4/mmm
- energy of formation from the pure elements (eV/f.u.) = -6.226
- spin magnetization (μB per formula unit) = 0.0

Structure (Quantum ESPRESSO input):
```
&SYSTEM
  ibrav = 0, nat = 8, ntyp = 3
/
ATOMIC_SPECIES
Pr 140.91 Pr.upf
Er 167.26 Er.upf
Au 196.97 Au.upf
ATOMIC_POSITIONS crystal
Pr 0.000 0.000 0.000
Pr 0.000 0.000 0.255
Pr 0.000 0.000 0.745
Er 0.000 0.000 0.500
Au 0.500 0.500 0.126
Au 0.500 0.500 0.390
Au 0.500 0.500 0.610
Au 0.500 0.500 0.874
CELL_PARAMETERS angstrom
3.679 0.000 0.000
0.000 3.679 0.000
0.000 0.000 14.948
```

=====

(16)
Material: Pr2Er3Au2
Method: DFT, GGA-PBE
State: optimized geometry Values from VASP.

Output
- symmetry = C2/m
- energy of formation from the pure elements (eV/f.u.) = -3.563
- spin magnetization (μB per formula unit) = 0.0

Structure (Quantum ESPRESSO input):
```
&SYSTEM
  ibrav = 0, nat = 14, ntyp = 3
/
ATOMIC_SPECIES
Pr 140.91 Pr.upf
Er 167.26 Er.upf
Au 196.97 Au.upf
ATOMIC_POSITIONS crystal
Pr 0.151 0.000 0.314
Pr 0.349 0.500 0.686
Pr 0.651 0.500 0.314
Pr 0.849 0.000 0.686
Er 0.000 0.500 0.500
Er 0.115 0.500 0.947
Er 0.385 0.000 0.053
Er 0.500 0.000 0.500
Er 0.615 0.000 0.947
Er 0.885 0.500 0.053
Au 0.164 0.000 0.737
Au 0.336 0.500 0.263
Au 0.664 0.500 0.737
Au 0.836 0.000 0.263
CELL_PARAMETERS angstrom
12.961 0.000 0.000
0.000 3.744 0.000
-4.221 0.000 8.202
```

=====

(17)
Material: PrEr4Au5
Method: DFT, GGA-PBE
State: optimized geometry Values from VASP.

Output
- symmetry = P4/mmm
- energy of formation from the pure elements (eV/f.u.) = -8.580
- spin magnetization (μB per formula unit) = 0.0

Structure (Quantum ESPRESSO input):
```
&SYSTEM
  ibrav = 0, nat = 10, ntyp = 3
/
ATOMIC_SPECIES
Pr 140.91 Pr.upf
Er 167.26 Er.upf
Au 196.97 Au.upf
ATOMIC_POSITIONS crystal
Pr 0.000 0.000 0.000
Er 0.000 0.000 0.206
Er 0.000 0.000 0.402
Er 0.000 0.000 0.598
Er 0.000 0.000 0.794
Au 0.500 0.500 0.114
Au 0.500 0.500 0.304
Au 0.500 0.500 0.500
Au 0.500 0.500 0.696
Au 0.500 0.500 0.886
CELL_PARAMETERS angstrom
3.571 0.000 0.000
0.000 3.571 0.000
0.000 0.000 18.314
```

=====

(18)
Material: PrEr5Au6
Method: DFT, GGA-PBE
State: optimized geometry Values from VASP.

Output
- symmetry = Immm
- energy of formation from the pure elements (eV/f.u.) = -10.228
- spin magnetization (μB per formula unit) = 0.0

Structure (Quantum ESPRESSO input):
```
&SYSTEM
  ibrav = 0, nat = 12, ntyp = 3
/
ATOMIC_SPECIES
Pr 140.91 Pr.upf
Er 167.26 Er.upf
Au 196.97 Au.upf
ATOMIC_POSITIONS crystal
Pr 0.000 0.000 0.000
Er 0.165 0.665 0.500
Er 0.332 0.332 0.000
Er 0.500 0.000 0.500
Er 0.668 0.668 0.000
Er 0.835 0.335 0.500
Au 0.087 0.827 0.260
Au 0.269 0.500 0.769
Au 0.432 0.173 0.260
Au 0.568 0.827 0.740
Au 0.731 0.500 0.231
Au 0.913 0.173 0.740
CELL_PARAMETERS angstrom
-2.548 3.572 7.690
2.548 -3.572 7.690
2.548 3.572 -7.690
```

=====

(19)
Material: PrEr2Au4
Method: DFT, GGA-PBE
State: optimized geometry Values from VASP.

Output
- symmetry = P4/mmm
- energy of formation from the pure elements (eV/f.u.) = -4.243
- spin magnetization (μB per formula unit) = 0.0

Structure (Quantum ESPRESSO input):
```
&SYSTEM
  ibrav = 0, nat = 7, ntyp = 3
/
ATOMIC_SPECIES
Pr 140.91 Pr.upf
Er 167.26 Er.upf
Au 196.97 Au.upf
ATOMIC_POSITIONS crystal
Pr 0.000 0.000 0.000
Er 0.000 0.000 0.500
Er 0.500 0.500 0.000
Au 0.000 0.500 0.261
Au 0.000 0.500 0.739
Au 0.500 0.000 0.261
Au 0.500 0.000 0.739
CELL_PARAMETERS angstrom
5.075 0.000 0.000
0.000 5.075 0.000
0.000 0.000 6.892
```

=====

(20)
Material: PrEr2Au3
Method: DFT, GGA-PBE
State: optimized geometry Values from VASP.

Output
- symmetry = P4/mmm
- energy of formation from the pure elements (eV/f.u.) = -5.052
- spin magnetization (μB per formula unit) = 0.0

Structure (Quantum ESPRESSO input):
```
&SYSTEM
  ibrav = 0, nat = 6, ntyp = 3
/
ATOMIC_SPECIES
Pr 140.91 Pr.upf
Er 167.26 Er.upf
Au 196.97 Au.upf
ATOMIC_POSITIONS crystal
Pr 0.000 0.000 0.000
Er 0.000 0.000 0.339
Er 0.000 0.000 0.661
Au 0.500 0.500 0.188
Au 0.500 0.500 0.500
Au 0.500 0.500 0.812
CELL_PARAMETERS angstrom
3.592 0.000 0.000
0.000 3.592 0.000
0.000 0.000 11.056
```